# 1
DFT (PBE-GGA) results for an optimized crystal structure of AcPmCu2O5.

abc: 3.9323 3.9323 7.3211
angles: 90.00 90.00 90.00
Atoms (fractional coordinates):
Ac  0.0000  0.0000  0.5000
Pm  0.0000  0.0000  0.0000
Cu  0.5000  0.5000  0.2143
Cu  0.5000  0.5000  0.7857
O  0.0000  0.5000  0.2081
O  0.5000  0.0000  0.2081
O  0.0000  0.5000  0.7919
O  0.5000  0.0000  0.7919
O  0.5000  0.5000  0.5000

Calculated values
* raw formation energy: -2087 meV per atom
* DOS(E_F): 3.88 states/eV per cell

# 2
DFT (PBE-GGA) results for an optimized crystal structure of AcPr2CuO5.

abc: 5.9637 6.6934 6.6934
angles: 90.00 90.00 90.00
Atoms (fractional coordinates):
Ac  0.0000  0.5000  0.5000
Ac  0.0000  0.0000  0.0000
Pr  0.5000  0.6654  0.1654
Pr  0.5000  0.1654  0.3346
Pr  0.5000  0.8346  0.6654
Pr  0.5000  0.3346  0.8346
Cu  0.0000  0.0000  0.5000
Cu  0.0000  0.5000  0.0000
O  0.5000  0.5000  0.5000
O  0.5000  0.0000  0.0000
O  0.2371  0.1572  0.6572
O  0.2371  0.8428  0.3428
O  0.2371  0.3428  0.1572
O  0.2371  0.6572  0.8428
O  0.7629  0.1572  0.6572
O  0.7629  0.6572  0.8428
O  0.7629  0.8428  0.3428
O  0.7629  0.3428  0.1572

Calculated values
* raw formation energy: -2618 meV per atom

# 3
DFT (PBE-GGA) results for an optimized crystal structure of AcCu2PtO4.

abc: 5.5984 5.2260 5.2260
angles: 81.41 57.61 57.61
Atoms (fractional coordinates):
Ac  0.0000  0.0000  0.0000
Cu  0.5000  0.7493  0.2507
Cu  0.5000  0.2507  0.7493
Pt  0.0000  0.5000  0.5000
O  0.5573  0.5023  0.9404
O  0.4427  0.0596  0.4977
O  0.0000  0.4977  0.0596
O  0.0000  0.9404  0.5023

Calculated values
* raw formation energy: -1036 meV per atom
* DOS(E_F): 4.29 states/eV per cell

# 4
DFT (PBE-GGA) results for an optimized crystal structure of AcCuPtO5.

abc: 5.8277 5.8277 7.2296
angles: 99.66 99.66 113.72
Last column: magnetic moment on the atom in μB.
Atoms (fractional coordinates):
Ac  0.3456  0.6544  0.2500  0.01
Ac  0.6544  0.3456  0.7500  0.01
Cu  0.6831  0.3169  0.2500  0.41
Cu  0.3169  0.6831  0.7500  0.41
Pt  0.0000  0.0000  0.5000  0.12
Pt  0.0000  0.0000  0.0000  0.12
O  0.0824  0.9176  0.2500  0.03
O  0.9176  0.0824  0.7500  0.03
O  0.8947  0.2832  0.0854  0.12
O  0.1053  0.7168  0.9146  0.12
O  0.7168  0.1053  0.4146  0.12
O  0.2832  0.8947  0.5854  0.12
O  0.7320  0.6229  0.4521  0.08
O  0.2680  0.3771  0.5479  0.08
O  0.3771  0.2680  0.0479  0.08
O  0.6229  0.7320  0.9521  0.08

Calculated values
* raw formation energy: -1391 meV per atom
* DOS(E_F): 14.58 states/eV per cell

# 5
DFT (PBE-GGA) results for an optimized crystal structure of AcCuPtO6.

abc: 5.3249 5.2204 5.2204
angles: 120.00 90.00 90.00
Last column: magnetic moment on the atom in μB.
Atoms (fractional coordinates):
Ac  0.0000  0.3333  0.6667  0.01
Cu  0.5000  0.6667  0.3333  0.22
Pt  0.5000  0.0000  0.0000  -0.10
O  0.7024  0.7007  0.6637  0.02
O  0.7024  0.3363  0.0370  0.02
O  0.7024  0.9630  0.2993  0.02
O  0.2976  0.3363  0.2993  0.02
O  0.2976  0.7007  0.0370  0.02
O  0.2976  0.9630  0.6637  0.02

Calculated values
* raw formation energy: -1182 meV per atom
* DOS(E_F): 6.67 states/eV per cell

# 6
DFT (PBE-GGA) results for an optimized crystal structure of Ac2CuPt2O6.

abc: 6.0362 6.0362 6.3781
angles: 61.76 61.76 60.00
Atoms (fractional coordinates):
Ac  0.7817  0.7817  0.6550
Ac  0.2183  0.2183  0.3450
Cu  0.0000  0.0000  0.0000
Pt  0.4104  0.4104  0.7688
Pt  0.5896  0.5896  0.2312
O  0.7681  0.7681  0.2686
O  0.1952  0.7681  0.2686
O  0.7681  0.1952  0.2686
O  0.2319  0.8048  0.7314
O  0.8048  0.2319  0.7314
O  0.2319  0.2319  0.7314

Calculated values
* raw formation energy: -1297 meV per atom
* DOS(E_F): 7.86 states/eV per cell

# 7
DFT (PBE-GGA) results for an optimized crystal structure of AcCu2PtO8.

abc: 6.0037 6.0037 6.0037
angles: 107.13 107.13 114.25
Last column: magnetic moment on the atom in μB.
Atoms (fractional coordinates):
Ac  0.0000  0.0000  0.0000  0.04
Cu  0.7500  0.2500  0.5000  0.20
Cu  0.5000  0.5000  0.0000  -0.13
Pt  0.2500  0.7500  0.5000  0.08
O  0.3660  0.0193  0.3467  0.16
O  0.3123  0.5139  0.2016  -0.04
O  0.3123  0.1107  0.7984  -0.04
O  0.6725  0.0193  0.6533  0.16
O  0.8893  0.6877  0.2016  -0.04
O  0.9807  0.3275  0.3467  0.16
O  0.9807  0.6340  0.6533  0.16
O  0.4861  0.6877  0.7984  -0.04

Calculated values
* raw formation energy: -532 meV per atom
* DOS(E_F): 7.22 states/eV per cell

# 8
DFT (PBE-GGA) results for an optimized crystal structure of AcCu4Pt3O12.

abc: 6.6045 6.6045 6.6045
angles: 109.47 109.47 109.47
Atoms (fractional coordinates):
Ac  0.0000  0.0000  0.0000
Cu  0.5000  0.0000  0.0000
Cu  0.5000  0.5000  0.5000
Cu  0.0000  0.5000  0.0000
Cu  0.0000  0.0000  0.5000
Pt  0.0000  0.5000  0.5000
Pt  0.5000  0.5000  0.0000
Pt  0.5000  0.0000  0.5000
O  0.3104  0.8245  0.1349
O  0.6896  0.1755  0.8651
O  0.6896  0.8245  0.5141
O  0.8651  0.6896  0.1755
O  0.8245  0.1349  0.3104
O  0.1755  0.4859  0.3104
O  0.4859  0.3104  0.1755
O  0.1755  0.8651  0.6896
O  0.3104  0.1755  0.4859
O  0.1349  0.3104  0.8245
O  0.8245  0.5141  0.6896
O  0.5141  0.6896  0.8245

Calculated values
* raw formation energy: -804 meV per atom
* DOS(E_F): 16.06 states/eV per cell

# 9
DFT (PBE-GGA) results for an optimized crystal structure of AcPuCu2O8.

abc: 6.0441 6.0441 6.0441
angles: 109.07 109.07 110.28
Last column: magnetic moment on the atom in μB.
Atoms (fractional coordinates):
Ac  0.0000  0.0000  0.0000  0.04
Pu  0.2500  0.7500  0.5000  -0.12
Cu  0.7500  0.2500  0.5000  0.36
Cu  0.5000  0.5000  0.0000  0.04
O  0.3816  0.0445  0.3371  0.13
O  0.3126  0.5295  0.2169  0.02
O  0.3126  0.0956  0.7831  0.02
O  0.7074  0.0445  0.6629  0.13
O  0.9044  0.6874  0.2169  0.02
O  0.9555  0.2926  0.3371  0.13
O  0.9555  0.6184  0.6629  0.13
O  0.4705  0.6874  0.7831  0.02

Calculated values
* raw formation energy: -1519 meV per atom
* DOS(E_F): 8.27 states/eV per cell

# 10
DFT (PBE-GGA) results for an optimized crystal structure of AcPuCu2O6.

abc: 5.5740 5.5739 6.4117
angles: 90.00 115.77 119.99
Last column: magnetic moment on the atom in μB.
Atoms (fractional coordinates):
Ac  0.9966  0.4978  0.4803  -0.02
Pu  0.9966  0.9978  0.9803  2.32
Cu  0.4654  0.7322  0.1836  -0.29
Cu  0.5274  0.2633  0.7766  -0.29
O  0.5530  0.9361  0.7578  -0.11
O  0.4401  0.0595  0.2028  -0.11
O  0.8373  0.7768  0.2028  -0.11
O  0.1575  0.3796  0.2029  -0.11
O  0.8357  0.6159  0.7578  -0.11
O  0.1559  0.2188  0.7578  -0.11

Calculated values
* raw formation energy: -2052 meV per atom
* DOS(E_F): 4.04 states/eV per cell

# 11
DFT (PBE-GGA) results for an optimized crystal structure of Ac2PuCuO8.

abc: 4.4114 5.3846 8.2846
angles: 89.97 90.03 99.33
Last column: magnetic moment on the atom in μB.
Atoms (fractional coordinates):
Ac  0.4998  0.5002  0.7500  0.01
Ac  0.5002  0.4998  0.2500  0.01
Pu  0.0000  0.0000  0.0000  -0.45
Cu  0.0000  0.0000  0.5000  0.53
O  0.0737  0.7719  0.1810  0.04
O  0.5904  0.7762  0.0000  0.04
O  0.9265  0.2277  0.1810  0.04
O  0.9263  0.2281  0.8190  0.04
O  0.4096  0.2238  0.0000  0.04
O  0.0735  0.7723  0.8190  0.04
O  0.7054  0.7371  0.4999  0.26
O  0.2946  0.2629  0.5001  0.26

Calculated values
* raw formation energy: -2310 meV per atom
* DOS(E_F): 6.35 states/eV per cell

# 12
DFT (PBE-GGA) results for an optimized crystal structure of Rb3Ac2CuO6.

abc: 6.2776 6.2776 7.3904
angles: 103.87 103.87 112.43
Atoms (fractional coordinates):
Rb  0.1629  0.8371  0.5000
Rb  0.8371  0.1629  0.5000
Rb  0.5000  0.5000  0.5000
Ac  0.3352  0.6648  0.0000
Ac  0.6648  0.3352  0.0000
Cu  0.0000  0.0000  0.0000
O  0.9297  0.6605  0.8634
O  0.6952  0.6952  0.2489
O  0.0703  0.3395  0.1366
O  0.6605  0.9297  0.8634
O  0.3048  0.3048  0.7511
O  0.3395  0.0703  0.1366

Calculated values
* raw formation energy: -1850 meV per atom

# 13
DFT (PBE-GGA) results for an optimized crystal structure of RbAcCu2O4.

abc: 4.0008 4.0008 7.8564
angles: 90.00 90.00 90.00
Atoms (fractional coordinates):
Rb  0.0000  0.0000  0.5000
Ac  0.0000  0.0000  0.0000
Cu  0.5000  0.5000  0.2280
Cu  0.5000  0.5000  0.7720
O  0.0000  0.5000  0.2101
O  0.5000  0.0000  0.7899
O  0.5000  0.0000  0.2101
O  0.0000  0.5000  0.7899

Calculated values
* raw formation energy: -1559 meV per atom
* DOS(E_F): 2.62 states/eV per cell

# 14
DFT (PBE-GGA) results for an optimized crystal structure of RbAcCuO2.

abc: 5.9726 7.9419 7.6821
angles: 118.66 90.00 90.00
Atoms (fractional coordinates):
Rb  0.8387  0.5000  0.7500
Rb  0.1613  0.5000  0.2500
Ac  0.5004  0.0000  0.2500
Ac  0.4996  0.0000  0.7500
Cu  0.0000  0.0000  0.0000
Cu  0.0000  0.0000  0.5000
O  0.7202  0.8936  0.9470
O  0.7202  0.1064  0.5530
O  0.2798  0.8936  0.4470
O  0.2798  0.1064  0.0530

Calculated values
* raw formation energy: -1652 meV per atom
* DOS(E_F): 2.57 states/eV per cell

# 15
DFT (PBE-GGA) results for an optimized crystal structure of RbAcCu4O6.

abc: 5.6338 5.6338 7.1841
angles: 90.00 90.00 120.00
Atoms (fractional coordinates):
Rb  0.0000  0.0000  0.0000
Ac  0.0000  0.0000  0.5000
Cu  0.6667  0.3333  0.1812
Cu  0.3333  0.6667  0.1812
Cu  0.3333  0.6667  0.8188
Cu  0.6667  0.3333  0.8188
O  0.5000  0.5000  0.2950
O  0.5000  0.5000  0.7050
O  0.5000  0.0000  0.2950
O  0.0000  0.5000  0.2950
O  0.5000  0.0000  0.7050
O  0.0000  0.5000  0.7050

Calculated values
* raw formation energy: -643 meV per atom
* DOS(E_F): 7.35 states/eV per cell

# 16
DFT (PBE-GGA) results for an optimized crystal structure of RbAc2CuO5.

abc: 5.8300 7.1844 7.1844
angles: 90.00 90.00 90.00
Atoms (fractional coordinates):
Rb  0.0000  0.5000  0.5000
Rb  0.0000  0.0000  0.0000
Ac  0.5000  0.6821  0.1821
Ac  0.5000  0.1821  0.3179
Ac  0.5000  0.8179  0.6821
Ac  0.5000  0.3179  0.8179
Cu  0.0000  0.0000  0.5000
Cu  0.0000  0.5000  0.0000
O  0.5000  0.5000  0.5000
O  0.5000  0.0000  0.0000
O  0.2358  0.1248  0.6248
O  0.2358  0.8752  0.3752
O  0.2358  0.3752  0.1248
O  0.2358  0.6248  0.8752
O  0.7642  0.1248  0.6248
O  0.7642  0.6248  0.8752
O  0.7642  0.8752  0.3752
O  0.7642  0.3752  0.1248

Calculated values
* raw formation energy: -2262 meV per atom

# 17
DFT (PBE-GGA) results for an optimized crystal structure of RbAc2CuO4.

abc: 3.9475 7.0257 12.0315
angles: 90.00 90.00 106.32
Atoms (fractional coordinates):
Rb  0.0710  0.1420  0.7500
Rb  0.9290  0.8580  0.2500
Ac  0.3715  0.7430  0.5637
Ac  0.6285  0.2570  0.0637
Ac  0.6285  0.2570  0.4363
Ac  0.3715  0.7430  0.9363
Cu  0.7622  0.5244  0.7500
Cu  0.2378  0.4756  0.2500
O  0.2437  0.4874  0.0976
O  0.7563  0.5126  0.5976
O  0.7563  0.5126  0.9024
O  0.2437  0.4874  0.4024
O  0.0000  0.0000  0.5000
O  0.0000  0.0000  0.0000
O  0.4264  0.8529  0.7500
O  0.5736  0.1471  0.2500

Calculated values
* raw formation energy: -2348 meV per atom
* DOS(E_F): 0.00 states/eV per cell

# 18
DFT (PBE-GGA) results for an optimized crystal structure of RbAc2Cu2O6.

abc: 6.8368 6.3289 6.7665
angles: 115.40 83.36 66.24
Last column: magnetic moment on the atom in μB.
Atoms (fractional coordinates):
Rb  0.5000  0.0000  0.5000  0.00
Ac  0.8237  0.3794  0.8059  0.03
Ac  0.1763  0.6206  0.1941  0.03
Cu  0.2188  0.7391  0.7790  0.64
Cu  0.7812  0.2609  0.2210  0.64
O  0.4059  0.7143  0.9530  0.28
O  0.8969  0.4709  0.1881  0.24
O  0.1480  0.8932  0.6062  0.20
O  0.1031  0.5291  0.8119  0.24
O  0.8520  0.1068  0.3938  0.20
O  0.5941  0.2857  0.0470  0.28

Calculated values
* raw formation energy: -1820 meV per atom
* DOS(E_F): 5.39 states/eV per cell

# 19
DFT (PBE-GGA) results for an optimized crystal structure of Rb3Ac3CuO8.

abc: 7.1906 7.6229 7.7690
angles: 117.35 90.00 118.14
Last column: magnetic moment on the atom in μB.
Atoms (fractional coordinates):
Rb  0.0000  0.0000  0.0000  0.00
Rb  0.0000  0.5000  0.0000  0.00
Rb  0.5000  0.5000  0.0000  0.00
Ac  0.5000  0.0000  0.5000  0.01
Ac  0.5000  0.5000  0.5000  0.03
Ac  0.0000  0.5000  0.5000  0.03
Cu  0.0000  0.0000  0.5000  0.03
O  0.2811  0.5621  0.3081  0.03
O  0.7189  0.4379  0.6919  0.03
O  0.7044  0.4088  0.2634  0.26
O  0.2956  0.5912  0.7366  0.26
O  0.8370  0.0597  0.3629  0.06
O  0.1630  0.9403  0.6371  0.06
O  0.2227  0.0597  0.3629  0.06
O  0.7773  0.9403  0.6371  0.06

Calculated values
* raw formation energy: -2022 meV per atom
* DOS(E_F): 12.80 states/eV per cell

# 20
DFT (PBE-GGA) results for an optimized crystal structure of Rb2AcCu2O4.

abc: 4.0908 9.7822 6.6304
angles: 129.96 107.97 90.00
Last column: magnetic moment on the atom in μB.
Atoms (fractional coordinates):
Rb  0.1609  0.5450  0.3218  0.00
Rb  0.8391  0.4550  0.6782  0.00
Ac  0.0000  0.0000  0.0000  0.02
Cu  0.6197  0.8174  0.2394  0.26
Cu  0.3803  0.1826  0.7606  0.26
O  0.2617  0.2216  0.5235  0.15
O  0.7383  0.7784  0.4765  0.15
O  0.4756  0.8154  0.9511  0.10
O  0.5244  0.1846  0.0489  0.10

Calculated values
* raw formation energy: -1532 meV per atom
* DOS(E_F): 8.44 states/eV per cell

| no. | calculated total energy (eV/cell) |
| --- | --- |
| 1 | -60.626 |
| 2 | -132.237 |
| 3 | -46.462 |
| 4 | -100.335 |
| 5 | -54.633 |
| 6 | -68.407 |
| 7 | -64.394 |
| 8 | -114.189 |
| 9 | -84.530 |
| 10 | -76.897 |
| 11 | -94.035 |
| 12 | -67.165 |
| 13 | -45.577 |
| 14 | -54.697 |
| 15 | -58.929 |
| 16 | -116.863 |
| 17 | -103.792 |
| 18 | -67.141 |
| 19 | -89.321 |
| 20 | -47.856 |